Ac2LaPr3As6 after structural relaxation, computed with GGA-PBE.

The formation energy comes out at -1.495 eV/atom. As for the total magnetization: 0.000 μB per cell.

The space group is C2/m (No. 12) and the conventional cell measures 19.191, 4.402 and 8.811 Å, with angles of 90.00, 103.36 and 90.00 degrees. The inequivalent atoms are Ac at (0.166, 0.000, 0.332), La at (0.000, 0.500, 0.000), Pr at (0.000, 0.500, 0.500), Pr at (0.167, 0.000, 0.834), As at (0.003, 0.000, 0.751), As at (0.164, 0.500, 0.590) and As at (0.167, 0.500, 0.075).